# 1
{
  "formula": "BaNaSO4",
  "functional": "PBE",
  "state": "optimized geometry",
  "total_magnetization_mub_per_fu": 0.767,
  "formation_energy_uncorrected_kj_per_mol_atoms": -151.33,
  "space_group": "F-43m, No. 216",
  "rho_kg_m3": 2919,
  "cell": [[0.0000, 4.1780, 4.1780], [4.1780, 0.0000, 4.1780], [4.1780, 4.1780, 0.0000]],
  "species": ["Ba", "Na", "S", "O", "O", "O", "O"],
  "frac_coords": [[0.0000, 0.0000, 0.0000], [0.2500, 0.2500, 0.2500], [0.5000, 0.5000, 0.5000], [0.3971, 0.3971, 0.3971], [0.3971, 0.3971, 0.8087], [0.3971, 0.8087, 0.3971], [0.8087, 0.3971, 0.3971]]
}

---

# 2
{
  "formula": "BaNa2SO",
  "functional": "PBE",
  "state": "optimized geometry",
  "total_magnetization_mub_per_fu": 0.000,
  "formation_energy_uncorrected_kj_per_mol_atoms": -151.84,
  "space_group": "Cmcm, No. 63",
  "rho_kg_m3": 3583,
  "cell": [[1.9922, -6.7312, 0.0000], [1.9922, 6.7312, 0.0000], [0.0000, 0.0000, 7.9957]],
  "species": ["Ba", "Ba", "Na", "Na", "Na", "Na", "S", "S", "O", "O"],
  "frac_coords": [[0.0396, 0.9604, 0.7500], [0.9604, 0.0396, 0.2500], [0.3353, 0.6647, 0.5583], [0.3353, 0.6647, 0.9417], [0.6647, 0.3353, 0.0583], [0.6647, 0.3353, 0.4417], [0.2461, 0.7539, 0.2500], [0.7539, 0.2461, 0.7500], [0.5000, 0.5000, 0.0000], [0.5000, 0.5000, 0.5000]]
}

---

# 3
{
  "formula": "BaNaS2O8",
  "functional": "PBE",
  "state": "optimized geometry",
  "total_magnetization_mub_per_fu": 1.113,
  "formation_energy_uncorrected_kj_per_mol_atoms": -173.11,
  "space_group": "P-3m1, No. 164",
  "rho_kg_m3": 2928,
  "cell": [[5.3794, 0.0000, 0.0000], [-2.6897, 4.6587, 0.0000], [0.0000, 0.0000, 7.9747]],
  "species": ["Ba", "Na", "S", "S", "O", "O", "O", "O", "O", "O", "O", "O"],
  "frac_coords": [[0.0000, 0.0000, 0.0000], [0.0000, 0.0000, 0.5000], [0.3333, 0.6667, 0.7716], [0.6667, 0.3333, 0.2284], [0.1829, 0.3657, 0.7098], [0.1829, 0.8171, 0.7098], [0.3333, 0.6667, 0.9590], [0.3657, 0.1829, 0.2902], [0.6343, 0.8171, 0.7098], [0.6667, 0.3333, 0.0410], [0.8171, 0.1829, 0.2902], [0.8171, 0.6343, 0.2902]]
}

---

Going through the records in order, we get density of states at the Fermi level values of 0.31 0.00 0.79 states/eV per atom.